## InOs2Ru (PBE-GGA)

Data for an optimized crystal structure of InOs2Ru.

POSCAR file:
```
InOs2Ru
1.0
2.842 0.000 0.000
0.000 2.842 0.000
0.000 0.000 7.741
In Os Ru
1 2 1
direct
0.500 0.500 0.747 In
0.000 0.000 0.024 Os
0.500 0.500 0.249 Os
0.000 0.000 0.480 Ru
```

## Properties
Spin magnetization ... 0.0 μB per formula unit
Energy ... -33.5 eV/cell
Space group ... P4mm


## La4Th3ScP8 (PBE-GGA)

Data for an optimized crystal structure of La4Th3ScP8.

POSCAR file:
```
La4Th3ScP8
1.0
8.314 0.000 0.000
0.000 8.355 0.023
-4.157 -4.153 5.881
La Th Sc P
4 3 1 8
direct
0.500 0.000 0.000 La
0.500 0.000 0.500 La
0.000 0.000 0.000 La
0.000 0.000 0.500 La
0.500 0.500 0.000 Th
0.500 0.500 0.500 Th
0.000 0.500 0.500 Th
0.000 0.500 0.000 Sc
0.240 0.734 0.994 P
0.241 0.734 0.481 P
0.253 0.259 0.506 P
0.753 0.734 0.994 P
0.247 0.266 0.006 P
0.747 0.741 0.494 P
0.759 0.266 0.519 P
0.760 0.266 0.006 P
```

## Properties
Spin magnetization ... 0.0 μB per formula unit
Energy ... -116.4 eV/cell
Space group ... R-3m


## Cs3VS4 (PBE-GGA)

Data for an optimized crystal structure of Cs3VS4.

POSCAR file:
```
Cs3VS4
1.0
-3.674 -9.120 -0.881
0.410 -1.116 9.839
-10.877 4.291 0.940
Cs V S
12 4 16
direct
0.454 0.791 0.042 Cs
0.954 0.709 0.458 Cs
0.546 0.209 0.542 Cs
0.046 0.291 0.958 Cs
0.546 0.209 0.958 Cs
0.046 0.291 0.542 Cs
0.454 0.791 0.458 Cs
0.954 0.709 0.042 Cs
0.352 0.586 0.750 Cs
0.852 0.914 0.750 Cs
0.648 0.414 0.250 Cs
0.148 0.086 0.250 Cs
0.278 0.016 0.750 V
0.778 0.484 0.750 V
0.722 0.984 0.250 V
0.222 0.516 0.250 V
0.172 0.952 0.598 S
0.672 0.548 0.902 S
0.828 0.048 0.098 S
0.328 0.452 0.402 S
0.828 0.048 0.402 S
0.328 0.452 0.098 S
0.172 0.952 0.902 S
0.672 0.548 0.598 S
0.482 0.933 0.750 S
0.982 0.567 0.750 S
0.518 0.067 0.250 S
0.018 0.433 0.250 S
0.290 0.234 0.750 S
0.790 0.266 0.750 S
0.710 0.766 0.250 S
0.210 0.734 0.250 S
```

## Properties
Spin magnetization ... 0.0 μB per formula unit
Energy ... -151.7 eV/cell
Space group ... Pnma


> The highest energy belongs to which entry?

InOs2Ru


Please write out number 2 again, unchanged.
## La4Th3ScP8 (PBE-GGA)

Data for an optimized crystal structure of La4Th3ScP8.

POSCAR file:
```
La4Th3ScP8
1.0
8.314 0.000 0.000
0.000 8.355 0.023
-4.157 -4.153 5.881
La Th Sc P
4 3 1 8
direct
0.500 0.000 0.000 La
0.500 0.000 0.500 La
0.000 0.000 0.000 La
0.000 0.000 0.500 La
0.500 0.500 0.000 Th
0.500 0.500 0.500 Th
0.000 0.500 0.500 Th
0.000 0.500 0.000 Sc
0.240 0.734 0.994 P
0.241 0.734 0.481 P
0.253 0.259 0.506 P
0.753 0.734 0.994 P
0.247 0.266 0.006 P
0.747 0.741 0.494 P
0.759 0.266 0.519 P
0.760 0.266 0.006 P
```

## Properties
Spin magnetization ... 0.0 μB per formula unit
Energy ... -116.4 eV/cell
Space group ... R-3m


Please write out number 3 again, unchanged.
## Cs3VS4 (PBE-GGA)

Data for an optimized crystal structure of Cs3VS4.

POSCAR file:
```
Cs3VS4
1.0
-3.674 -9.120 -0.881
0.410 -1.116 9.839
-10.877 4.291 0.940
Cs V S
12 4 16
direct
0.454 0.791 0.042 Cs
0.954 0.709 0.458 Cs
0.546 0.209 0.542 Cs
0.046 0.291 0.958 Cs
0.546 0.209 0.958 Cs
0.046 0.291 0.542 Cs
0.454 0.791 0.458 Cs
0.954 0.709 0.042 Cs
0.352 0.586 0.750 Cs
0.852 0.914 0.750 Cs
0.648 0.414 0.250 Cs
0.148 0.086 0.250 Cs
0.278 0.016 0.750 V
0.778 0.484 0.750 V
0.722 0.984 0.250 V
0.222 0.516 0.250 V
0.172 0.952 0.598 S
0.672 0.548 0.902 S
0.828 0.048 0.098 S
0.328 0.452 0.402 S
0.828 0.048 0.402 S
0.328 0.452 0.098 S
0.172 0.952 0.902 S
0.672 0.548 0.598 S
0.482 0.933 0.750 S
0.982 0.567 0.750 S
0.518 0.067 0.250 S
0.018 0.433 0.250 S
0.290 0.234 0.750 S
0.790 0.266 0.750 S
0.710 0.766 0.250 S
0.210 0.734 0.250 S
```

## Properties
Spin magnetization ... 0.0 μB per formula unit
Energy ... -151.7 eV/cell
Space group ... Pnma